# BeTlCo4

A geometry-optimized BeTlCo4 structure (PBE-GGA, Alexandria via LeMat-Bulk).

a = 6.7750 Å, b = 6.7750 Å, c = 6.7750 Å
α = 90.00°, β = 90.00°, γ = 90.00°
Space group F-43m (No. 216)
Symmetry-distinct sites (fractional):
Be 0.0000 0.0000 0.0000 x4
Tl 0.2500 0.2500 0.2500 x4
Co 0.1259 0.1259 0.6259 x16

Values from the calculation:
- energy relative to the elements (kcal/mol of atoms) = 9.86
- DOS(E_F) (states/eV/atom) = 1.25
- crystal system = cubic